No. 1
First-principles (PBE) data for a geometry-optimized Li2MoPb2 structure, as listed in Alexandria via LeMat-Bulk.

```
Li2MoPb2
1.0
-0.260 2.202 2.790
-3.553 -0.076 -0.271
-2.141 -5.022 6.039
Mo Pb Li
1 2 2
Direct
0.000 0.000 0.000
0.396 0.396 0.209
0.604 0.604 0.791
0.250 0.750 0.500
0.750 0.250 0.500
```

Output
* relative energy among the computed polymorphs: 20.7 meV per atom
* ΔH_f (0 K): 324 meV/atom
* density of states at the Fermi level: 2.90 states/eV per cell
* VASP energy: -4.09 eV per atom



No. 2
First-principles (PBE) data for a geometry-optimized Sm3DyRh structure, as listed in Alexandria via LeMat-Bulk.

```
Sm3DyRh
1.0
3.753 0.000 0.617
1.821 6.071 0.648
-0.168 -0.570 12.750
Sm Dy Rh
6 2 2
Direct
0.444 0.958 0.154
0.770 0.706 0.755
0.433 0.620 0.513
0.780 0.048 0.392
0.099 0.174 0.629
0.990 0.109 0.910
0.223 0.554 0.001
0.115 0.495 0.275
0.776 0.322 0.125
0.430 0.352 0.788
```

Output
* relative energy among the computed polymorphs: 0.0 meV per atom
* ΔH_f (0 K): -357 meV/atom
* density of states at the Fermi level: 11.32 states/eV per cell
* VASP energy: -5.58 eV per atom



No. 3
First-principles (PBE) data for a geometry-optimized LiMn2BiPd structure, as listed in Alexandria via LeMat-Bulk.

```
LiMn2BiPd
1.0
-1.649 -0.808 4.030
-1.460 -4.199 -1.439
3.870 -1.767 1.230
Mn Pd Li Bi
2 1 1 1
Direct
0.500 0.000 0.000
0.000 0.000 0.500
0.500 0.500 0.500
0.000 0.000 0.000
0.000 0.500 0.000
```

Output
* ΔH_f (0 K): 712 meV/atom
* density of states at the Fermi level: 3.43 states/eV per cell
* VASP energy: -5.15 eV per atom



No. 4
First-principles (PBE) data for a geometry-optimized CsPdF5 structure, as listed in Alexandria via LeMat-Bulk.

```
CsPdF5
1.0
-5.125 4.867 -1.193
-2.986 -6.498 -0.482
2.769 1.460 6.438
F Cs Pd
10 2 2
Direct
0.933 0.183 0.250
0.230 0.502 0.726
0.776 0.003 0.774
0.067 0.817 0.750
0.777 0.321 0.549
0.228 0.272 0.049
0.770 0.498 0.274
0.224 0.997 0.226
0.772 0.728 0.951
0.223 0.679 0.451
0.527 0.777 0.250
0.473 0.223 0.750
0.000 0.000 0.000
0.000 0.500 0.500
```

Output
* density of states at the Fermi level: 9.62 states/eV per cell
* VASP energy: -3.96 eV per atom



No. 5
First-principles (PBE) data for a geometry-optimized PdRuRh2 structure, as listed in Alexandria via LeMat-Bulk.

```
PdRuRh2
1.0
3.097 -3.078 -0.355
0.527 -2.954 3.191
-1.131 -4.178 -0.675
Pd Ru Rh
1 1 2
Direct
0.500 0.500 0.500
0.000 0.000 0.000
0.250 0.250 0.250
0.750 0.750 0.750
```

Output
* relative energy among the computed polymorphs: 331.2 meV per atom
* ΔH_f (0 K): 351 meV/atom
* density of states at the Fermi level: 4.22 states/eV per cell
* VASP energy: -6.94 eV per atom